1.
The following is a DFT calculation (PBE) of Ac2Ga4HgPd3 after structural relaxation.

Cell lengths 4.4947, 4.4947, 10.7191 Å; angles 90.00, 90.00, 90.00 degrees
Element x y z (fractional)
Hg  0.5000  0.5000  0.5000
Pd  0.0000  0.5000  0.1239
Pd  0.5000  0.0000  0.8761
Pd  0.0000  0.0000  0.5000
Ga  0.5000  0.0000  0.6384
Ga  0.5000  0.5000  0.0000
Ga  0.0000  0.0000  0.0000
Ga  0.0000  0.5000  0.3616
Ac  0.0000  0.5000  0.7584
Ac  0.5000  0.0000  0.2416

Summary:
**E_tot**: -4.32 eV/atom

---

2.
The following is a DFT calculation (PBE) of Ac3GaHg2Pd9 after structural relaxation.

Cell lengths 7.8501, 7.8501, 6.7678 Å; angles 90.00, 90.00, 120.00 degrees
Element x y z (fractional)
Hg  0.3333  0.6667  0.1928
Hg  0.6667  0.3333  0.8072
Ga  0.0000  0.0000  0.5000
Pd  0.5000  0.5000  0.0000
Pd  0.1553  0.3105  0.3361
Pd  0.8447  0.1553  0.6639
Pd  0.5000  0.0000  0.0000
Pd  0.3105  0.1553  0.6639
Pd  0.6895  0.8447  0.3361
Pd  0.1553  0.8447  0.3361
Pd  0.0000  0.5000  0.0000
Pd  0.8447  0.6895  0.6639
Ac  0.0000  0.0000  0.0000
Ac  0.6667  0.3333  0.3184
Ac  0.3333  0.6667  0.6816

Summary:
**E_tot**: -4.51 eV/atom

---

3.
The following is a DFT calculation (PBE) of Ac2GaHg2Pd4 after structural relaxation.

Cell lengths 6.5649, 6.5649, 6.5649 Å; angles 94.83, 117.25, 117.25 degrees
Element x y z (fractional)
Ga  0.0000  0.0000  0.0000
Hg  0.0000  0.6860  0.6860
Hg  0.0000  0.3140  0.3140
Pd  0.0000  0.2587  0.7413
Pd  0.5175  0.2587  0.2587
Pd  0.4825  0.7413  0.7413
Pd  0.0000  0.7413  0.2587
Ac  0.5000  0.2500  0.7500
Ac  0.5000  0.7500  0.2500

Summary:
**E_tot**: -4.20 eV/atom

---

no.,ΔH_f (0 K) (eV/atom)
1,-0.70
2,-0.34
3,-0.57